[1]
Compound: BaLi2Cl2
Source: Alexandria
Functional: PBE
Structure: relaxed

```
data_BaLi2Cl2
_chemical_formula_sum 'Ba2 Li4 Cl4'
_space_group_name_H-M_alt 'P 1'
_space_group_IT_number 1
_cell_length_a 4.112
_cell_length_b 4.112
_cell_length_c 14.929
_cell_angle_alpha 90.00
_cell_angle_beta 90.00
_cell_angle_gamma 90.00
loop_
_space_group_symop_operation_xyz
'x,y,z'
loop_
_atom_site_label
_atom_site_type_symbol
_atom_site_fract_x
_atom_site_fract_y
_atom_site_fract_z
Ba1 Ba 0.000 0.000 0.000
Ba2 Ba 0.500 0.500 0.500
Li1 Li 0.000 0.500 0.250
Li2 Li 0.000 0.500 0.750
Li3 Li 0.500 0.000 0.250
Li4 Li 0.500 0.000 0.750
Cl1 Cl 0.000 0.000 0.390
Cl2 Cl 0.000 0.000 0.610
Cl3 Cl 0.500 0.500 0.110
Cl4 Cl 0.500 0.500 0.890
```

Values from the calculation:
Formation energy without anion corrections (eV per atom): -1.130
Calculated total energy (eV per cell): -30.2
SG: No. 139

---

[2]
Compound: Hf7InSb2
Source: Alexandria
Functional: PBE
Structure: relaxed

```
data_Hf7InSb2
_chemical_formula_sum 'Hf7 In1 Sb2'
_space_group_name_H-M_alt 'P 1'
_space_group_IT_number 1
_cell_length_a 8.107
_cell_length_b 8.107
_cell_length_c 4.939
_cell_angle_alpha 90.00
_cell_angle_beta 90.00
_cell_angle_gamma 120.68
loop_
_space_group_symop_operation_xyz
'x,y,z'
loop_
_atom_site_label
_atom_site_type_symbol
_atom_site_fract_x
_atom_site_fract_y
_atom_site_fract_z
Hf1 Hf 0.000 0.000 0.000
Hf2 Hf 0.210 0.436 0.000
Hf3 Hf 0.288 0.712 0.500
Hf4 Hf 0.436 0.210 0.000
Hf5 Hf 0.564 0.790 0.000
Hf6 Hf 0.712 0.288 0.500
Hf7 Hf 0.790 0.564 0.000
In1 In 0.500 0.500 0.500
Sb1 Sb 0.198 0.802 0.000
Sb2 Sb 0.802 0.198 0.000
```

Values from the calculation:
Formation energy without anion corrections (eV per atom): 0.459
Calculated total energy (eV per cell): -76.1
SG: No. 65